Model A:
Here is crystalline TaVNi at its relaxed geometry from Alexandria. Energies are from PBE.

It has space group Cm (No. 8), with a = 9.636 Å, b = 3.213 Å, c = 5.808 Å, α = 90.00°, β = 107.24° and γ = 90.00°. Symmetry generates all atoms from Ta at (0.000, 0.000, 0.000), Ta at (0.172, 0.500, 0.373), V at (0.337, 0.000, 0.183), V at (0.492, 0.500, 0.506), Ni at (0.177, 0.500, 0.859) and Ni at (0.332, 0.000, 0.686).

The magnetic moment comes out at 0.00 μB per formula unit. The density comes out at 11.2 g/cm³. The value obtained for the density of states at the Fermi level is 0.986 states/eV/atom.

***

Model B:
Here is crystalline TaVNi at its relaxed geometry from Alexandria. Energies are from PBE.

It has space group Amm2 (No. 38), with a = 8.070 Å, b = 4.907 Å, c = 8.509 Å, α = 90.00°, β = 90.00° and γ = 90.00°. Symmetry generates all atoms from Ta at (0.185, 0.000, 0.000), Ta at (0.306, 0.000, 0.665), V at (0.000, 0.000, 0.481), V at (0.500, 0.000, 0.152), V at (0.500, 0.246, 0.911), Ni at (0.000, 0.244, 0.729) and Ni at (0.245, 0.000, 0.325).

The magnetic moment comes out at 0.00 μB per formula unit. The density comes out at 11.5 g/cm³. The value obtained for the density of states at the Fermi level is 0.999 states/eV/atom.

***

Most stable one: model B, least stable one: model A.

***

Model A:
Here is crystalline TaVNi at its relaxed geometry from Alexandria. Energies are from PBE.

It has space group P3m1 (No. 156), with a = 4.3319 Å, b = 4.3319 Å, c = 5.2687 Å, α = 90.00°, β = 90.00° and γ = 120.00°. Symmetry generates all atoms from Ta at (0.0000, 0.0000, 0.0000), Ta at (0.3333, 0.6667, 0.2187), V at (0.3333, 0.6667, 0.7184), V at (0.6667, 0.3333, 0.8160), Ni at (0.0000, 0.0000, 0.5062) and Ni at (0.6667, 0.3333, 0.3342).

The magnetic moment comes out at 0.00 μB per formula unit. The density comes out at 11.3 g/cm³. The value obtained for the density of states at the Fermi level is 1.076 states/eV/atom.

***

Model B:
Here is crystalline TaVNi at its relaxed geometry from Alexandria. Energies are from PBE.

It has space group Imma (No. 74), with a = 4.823 Å, b = 4.963 Å, c = 7.048 Å, α = 90.00°, β = 90.00° and γ = 90.00°. Symmetry generates all atoms from Ta at (0.000, 0.250, 0.122), V at (0.250, 0.250, 0.750) and Ni at (0.000, 0.000, 0.500).

The magnetic moment comes out at 0.00 μB per formula unit. The density comes out at 11.4 g/cm³. The value obtained for the density of states at the Fermi level is 1.573 states/eV/atom.

***

Most stable one: model B, least stable one: model A.

***

Model A:
Here is crystalline TaVNi at its relaxed geometry from Alexandria. Energies are from PBE.

It has space group Fmm2 (No. 42), with a = 3.495 Å, b = 4.115 Å, c = 11.864 Å, α = 90.00°, β = 90.00° and γ = 90.00°. Symmetry generates all atoms from Ta at (0.000, 0.000, 0.000), V at (0.000, 0.000, 0.317) and Ni at (0.000, 0.000, 0.668).

The magnetic moment comes out at 0.00 μB per formula unit. The density comes out at 11.3 g/cm³. The value obtained for the density of states at the Fermi level is 1.225 states/eV/atom.

***

Model B:
Here is crystalline TaVNi at its relaxed geometry from Alexandria. Energies are from PBE.

It has space group Cm (No. 8), with a = 8.665 Å, b = 4.185 Å, c = 5.277 Å, α = 90.00°, β = 116.94° and γ = 90.00°. Symmetry generates all atoms from Ta at (0.000, 0.000, 0.000), Ta at (0.204, 0.500, 0.328), V at (0.047, 0.000, 0.535), V at (0.348, 0.000, 0.649), Ni at (0.170, 0.500, 0.811) and Ni at (0.346, 0.000, 0.138).

The magnetic moment comes out at 0.00 μB per formula unit. The density comes out at 11.3 g/cm³. The value obtained for the density of states at the Fermi level is 1.064 states/eV/atom.

***

Model C:
Here is crystalline TaVNi at its relaxed geometry from Alexandria. Energies are from PBE.

It has space group Cm (No. 8), with a = 9.244 Å, b = 3.224 Å, c = 5.970 Å, α = 90.00°, β = 106.16° and γ = 90.00°. Symmetry generates all atoms from Ta at (0.000, 0.000, 0.000), Ta at (0.174, 0.500, 0.352), V at (0.173, 0.500, 0.835), V at (0.331, 0.000, 0.676), Ni at (0.338, 0.000, 0.176) and Ni at (0.497, 0.500, 0.509).

The magnetic moment comes out at 0.00 μB per formula unit. The density comes out at 11.3 g/cm³. The value obtained for the density of states at the Fermi level is 1.278 states/eV/atom.

***

Most stable one: model A, least stable one: model C.